This record from the Alexandria database describes an optimized crystal structure of SiMoO2F. The functional is GGA+U.

**Final energy**: -6.07 eV per atom
**Volume**: 58 Å³/cell
**Theoretical density**: 5.0 g cm⁻³

a = 3.516 Å, b = 3.516 Å, c = 4.703 Å
α = 90.00°, β = 90.00°, γ = 90.00°
Atoms (fractional coordinates):
Si 0.000 0.000 0.000
Mo 0.500 0.500 0.500
O 0.000 0.500 0.000
O 0.500 0.000 0.000
F 0.000 0.000 0.500